This record from Alexandria describes a relaxed structure of Pr3Dy3TlIn2. The functional is PBE.

- Crystal system: hexagonal
- Magnetic moment: 0.00 μB/f.u.
- Energy: -38.44 eV for the cell shown
- DFT formation energy: -6.3 kcal/mol of atoms

Lattice parameters (Å, degrees): 9.162 9.162 3.787 90.00 90.00 120.00
Element x y z (fractional)
Pr (0.000, 0.711, 0.000)
Pr (0.289, 0.289, 0.000)
Pr (0.711, 0.000, 0.000)
Dy (0.000, 0.385, 0.500)
Dy (0.385, 0.000, 0.500)
Dy (0.615, 0.615, 0.500)
Tl (0.000, 0.000, 0.500)
In (0.333, 0.667, 0.000)
In (0.667, 0.333, 0.000)